Entry 1:
A plane-wave DFT calculation with PBE was carried out for a geometry-optimized Ca3ReGe structure.

The space group is Pm-3m (No. 221) and the conventional cell measures 5.455, 5.455 and 5.455 Å, with angles of 90.00, 90.00 and 90.00 degrees. The asymmetric unit holds Ca at (0.000, 0.000, 0.500), Re at (0.000, 0.000, 0.000) and Ge at (0.500, 0.500, 0.500).

For the total moment, the calculation gives 0.29 μB per atom. The total energy comes out at -3.8078 eV/atom.

Entry 2:
A plane-wave DFT calculation with PBE was carried out for a geometry-optimized Sr2LiTl structure.

The space group is P4mm (No. 99) and the conventional cell measures 4.041, 4.041 and 8.819 Å, with angles of 90.00, 90.00 and 90.00 degrees. The asymmetric unit holds Sr at (0.000, 0.000, 0.000), Sr at (0.500, 0.500, 0.367), Li at (0.500, 0.500, 0.747) and Tl at (0.000, 0.000, 0.606).

For the total moment, the calculation gives 0.00 μB per atom. The total energy comes out at -2.0814 eV/atom.

Entry 3:
A plane-wave DFT calculation with PBE was carried out for a geometry-optimized Al3ZnFe structure.

The space group is Pm-3m (No. 221) and the conventional cell measures 4.628, 4.628 and 4.628 Å, with angles of 90.00, 90.00 and 90.00 degrees. The asymmetric unit holds Al at (0.000, 0.000, 0.500), Zn at (0.000, 0.000, 0.000) and Fe at (0.500, 0.500, 0.500).

For the total moment, the calculation gives 0.64 μB per atom. The total energy comes out at -3.2960 eV/atom.

Entry 4:
A plane-wave DFT calculation with PBE was carried out for a geometry-optimized NbHRh3 structure.

The space group is P6_3/mmc (No. 194) and the conventional cell measures 2.9184, 2.9184 and 17.7266 Å, with angles of 90.00, 90.00 and 120.00 degrees. The asymmetric unit holds Nb at (0.0000, 0.0000, 0.0000), H at (0.3333, 0.6667, 0.2500), Rh at (0.0000, 0.0000, 0.2500) and Rh at (0.3333, 0.6667, 0.1206).

For the total moment, the calculation gives 0.00 μB per atom. The total energy comes out at -7.1314 eV/atom.